ErIn2Sn2: relaxed, PBE.

```
ErIn2Sn2
1.0
3.980 -0.009 0.969
-0.248 3.973 0.968
0.020 0.021 8.440
Sn In Er
2 2 1
Cartesian
2.295 1.591 2.661
3.046 2.389 8.103
-0.173 3.203 4.115
1.541 0.788 5.682
0.567 3.991 9.602
```

## Properties
**Energy relative to the elements**: -0.233 eV/atom
**E above lowest polymorph**: 46 meV per atom
**E**: -3.84 eV per atom


Er12In6Sn: relaxed, PBE.

```
Er12In6Sn
1.0
8.829 -0.148 -0.177
-1.484 8.705 -0.177
-1.484 -1.729 8.533
Er In Sn
12 6 1
Cartesian
7.707 2.611 0.282
5.792 4.107 3.451
4.108 0.699 3.522
-1.847 4.216 7.897
4.447 7.982 0.244
-1.355 7.589 2.620
0.068 2.721 4.729
1.413 -1.154 7.935
2.679 4.567 1.317
7.215 -0.761 5.559
3.181 2.261 6.862
1.752 6.128 4.657
5.983 2.036 5.741
4.755 2.291 1.032
1.543 0.113 5.151
4.317 6.715 3.029
-0.122 4.792 2.438
1.105 4.537 7.148
0.000 0.000 0.000
```

## Properties
**Energy relative to the elements**: -0.039 eV/atom
**E**: -4.00 eV per atom


ErInSn3: relaxed, PBE.

```
ErInSn3
1.0
-3.930 -4.711 -1.742
1.732 -3.298 5.014
-9.796 5.567 7.045
Sn In Er
12 4 4
Cartesian
-7.113 1.188 6.997
-9.570 3.216 7.059
-4.459 1.956 4.772
-6.424 -0.400 3.901
-2.424 -5.658 3.259
-0.596 -3.042 3.734
-11.399 0.600 6.583
-9.885 0.370 3.789
-3.605 0.313 7.287
-2.110 -2.812 6.529
-5.570 -2.042 6.416
-4.882 -3.631 3.321
-2.706 -2.513 1.227
-9.288 0.071 9.091
-0.741 -0.157 2.098
-7.323 2.427 9.961
-8.797 -1.396 6.109
-5.985 -1.837 0.957
-3.198 -1.046 4.208
-6.010 -0.605 9.360
```

## Properties
**Energy relative to the elements**: -0.267 eV/atom
**E above lowest polymorph**: 0 meV per atom
**E**: -4.13 eV per atom


ErIn6Sn: relaxed, PBE.

```
ErIn6Sn
1.0
4.499 0.000 0.000
0.000 6.801 -0.042
0.000 0.044 6.801
In Er Sn
6 1 1
Cartesian
0.000 5.111 1.670
0.000 5.132 5.067
0.000 1.713 1.692
0.000 1.735 5.089
2.249 0.022 3.401
2.249 3.401 -0.021
2.249 0.000 0.000
2.249 3.423 3.380
```

## Properties
**Energy relative to the elements**: -0.122 eV/atom
**E**: -3.25 eV per atom


Er12In5Sn2: relaxed, PBE.

```
Er12In5Sn2
1.0
7.008 0.000 0.000
-3.504 8.327 0.824
0.000 -2.037 9.806
Er In Sn
12 5 2
Cartesian
1.739 2.738 1.329
1.822 1.326 5.661
5.187 1.326 5.661
3.504 -0.339 2.993
1.765 3.553 9.301
0.000 -0.067 8.158
0.000 6.630 7.637
1.683 4.965 4.969
5.270 2.738 1.329
-1.765 3.553 9.301
-1.683 4.965 4.969
3.504 6.357 2.472
3.504 2.887 3.690
0.000 3.403 6.940
0.000 5.258 2.257
3.504 1.033 8.373
0.000 -1.018 4.903
5.056 0.000 0.000
1.953 0.000 0.000
```

## Properties
**Energy relative to the elements**: -0.150 eV/atom
**E**: -4.17 eV per atom


ErInSn2: relaxed, PBE.

```
ErInSn2
1.0
4.568 0.000 0.000
0.000 4.724 0.000
0.000 0.000 4.724
Er In Sn
1 1 2
Cartesian
2.284 2.362 2.362
2.284 0.000 0.000
0.000 0.000 2.362
0.000 2.362 0.000
```

## Properties
**Energy relative to the elements**: -0.392 eV/atom
**E above lowest polymorph**: 0 meV per atom
**E**: -4.22 eV per atom


Er3InSn: relaxed, PBE.

```
Er3InSn
1.0
-4.529 -6.304 -3.557
0.241 -3.980 -7.543
6.097 -7.906 3.536
Er In Sn
12 4 4
Cartesian
-0.586 -9.999 -3.337
-1.888 -10.018 -7.795
0.777 -3.197 -1.357
3.696 -8.172 0.231
1.031 -14.993 -6.207
-0.717 -7.691 -5.778
2.525 -10.499 -1.786
0.125 -6.236 -2.840
4.887 -12.700 -3.656
-3.079 -5.490 -3.908
1.683 -11.954 -4.725
2.394 -8.191 -4.227
-0.511 -3.428 -4.405
1.364 -9.759 -7.029
0.444 -8.431 -0.536
2.319 -14.762 -3.159
4.540 -6.112 2.269
3.169 -5.943 -2.004
-2.732 -12.078 -9.834
-2.265 -3.152 -1.779
```

## Properties
**Energy relative to the elements**: -0.395 eV/atom
**E**: -4.48 eV per atom


ErInSn3: relaxed, PBE.

```
ErInSn3
1.0
8.305 0.000 0.000
0.000 6.205 0.000
0.000 0.000 10.691
Er Sn In
4 12 4
Cartesian
2.896 1.551 7.512
1.257 1.551 2.166
5.409 4.654 3.179
7.048 4.654 8.525
1.391 4.654 6.843
2.799 3.078 4.603
5.506 3.127 6.088
1.354 3.078 9.949
2.799 0.024 4.603
6.914 1.551 3.848
5.543 1.551 9.193
6.951 3.127 0.742
2.762 4.654 1.498
5.506 6.181 6.088
6.951 6.181 0.742
1.354 0.024 9.949
3.880 4.654 8.823
4.424 1.551 1.868
8.033 1.551 7.214
0.272 4.654 3.477
```

## Properties
**Energy relative to the elements**: -0.218 eV/atom
**E above lowest polymorph**: 49 meV per atom
**E**: -4.08 eV per atom


Er6In5Sn: relaxed, PBE.

```
Er6In5Sn
1.0
-6.847 6.997 1.255
-3.520 -2.519 4.694
1.392 1.167 6.013
Er In Sn
6 5 1
Cartesian
-2.583 1.128 1.474
-4.968 5.424 3.334
-5.671 4.978 6.910
-3.305 0.667 5.053
-7.785 3.351 4.475
-4.008 0.222 8.629
-1.418 -0.900 7.139
-0.710 -0.451 3.568
-5.184 2.239 2.975
-5.886 1.794 6.552
-3.089 3.852 5.410
0.000 0.000 0.000
```

## Properties
**Energy relative to the elements**: -0.352 eV/atom
**E above lowest polymorph**: 118 meV per atom
**E**: -4.11 eV per atom


Er3In3Sn4: relaxed, PBE.

```
Er3In3Sn4
1.0
4.437 0.000 0.000
0.000 7.845 -0.007
0.000 0.062 7.845
Er Sn In
3 4 3
Cartesian
2.218 5.309 5.241
2.218 6.573 1.276
2.218 2.619 2.575
0.000 5.041 2.821
0.000 6.772 6.841
0.000 2.965 4.916
0.000 1.006 1.126
2.218 1.393 6.501
0.000 7.849 3.940
0.000 3.898 0.024
```

## Properties
**Energy relative to the elements**: -0.315 eV/atom
**E**: -4.11 eV per atom


ErInSn2: relaxed, PBE.

```
ErInSn2
1.0
4.624 0.000 0.000
2.312 4.004 0.000
2.312 1.335 6.315
Er In Sn
1 1 2
Cartesian
6.936 4.004 6.261
4.624 2.670 3.234
2.312 1.335 1.575
2.312 1.335 4.718
```

## Properties
**Energy relative to the elements**: -0.186 eV/atom
**E above lowest polymorph**: 206 meV per atom
**E**: -4.01 eV per atom


ErIn2Sn2: relaxed, PBE.

```
ErIn2Sn2
1.0
4.408 0.000 0.000
0.000 4.468 0.000
-2.204 0.000 13.215
Er In Sn
2 4 4
Cartesian
2.204 3.351 4.105
0.000 1.117 9.110
2.204 1.117 11.890
2.204 1.117 1.414
0.000 3.351 11.801
0.000 3.351 1.324
2.204 1.117 6.610
2.204 3.351 9.382
0.000 1.117 3.833
0.000 3.351 6.605
```

## Properties
**Energy relative to the elements**: -0.279 eV/atom
**E above lowest polymorph**: 0 meV per atom
**E**: -3.89 eV per atom